Below is Sb2AsIrAu after structural relaxation, with properties calculated at the PBE-GGA level.

```
5
Lattice="5.403 0.000 0.000 0.000 5.403 0.000 0.000 0.000 4.530" Properties=species:S:1:pos:R:3 pbc="T T T"
Sb 0.000 2.701 0.000
Sb 2.701 0.000 0.000
As 0.000 0.000 0.000
Ir 0.000 0.000 2.265
Au 2.701 2.701 2.265
```

Results
D(E_F)	4.7	states/eV/f.u.
symmetry	P4/mmm (123)
total energy	-4.082	eV/atom
magnetization	0.000	μB per atom
E_form (uncorrected)	0.92	eV per atom